VASP calculation (PBE-GGA) on a geometry-optimized Be2CdNi2 structure.

a b c (Å): 6.6781 6.6781 2.5894
angles (deg): 90.00 90.00 90.00
With the nearest neighbours (Å) after each atom.
Positions (direct):
Ni1 0.3665 0.8665 0.0000  6 Be 2.32-2.39, 3 Ni 2.52-2.59
Ni2 0.8665 0.6335 0.0000  6 Be 2.32-2.39, 3 Ni 2.52-2.59
Ni3 0.6335 0.1335 0.0000  6 Be 2.32-2.39, 3 Ni 2.52-2.59
Ni4 0.1335 0.3665 0.0000  6 Be 2.32-2.39, 3 Ni 2.52-2.59
Be1 0.1543 0.6543 0.5000  6 Ni 2.32-2.39, 2 Be 2.59
Be2 0.6543 0.8457 0.5000  6 Ni 2.32-2.39, 2 Be 2.59
Be3 0.8457 0.3457 0.5000  6 Ni 2.32-2.39, 2 Be 2.59
Be4 0.3457 0.1543 0.5000  6 Ni 2.32-2.39, 2 Be 2.59
Cd1 0.0000 0.0000 0.0000  2 Cd 2.59, 4 Ni 2.60, 8 Be 2.84
Cd2 0.5000 0.5000 0.0000  2 Cd 2.59, 4 Ni 2.60, 8 Be 2.84

Summary:
Distance to the lowest polymorph of the same formula   87 meV/atom
ΔE_f   -0.0693 eV per atom